An optimized crystal structure of Ba5Al2In2IrClO13, computed with PBE-GGA.

As for the energy: -6.361 eV per atom. Its magnetization is 2.0 μB/f.u.

The space group is P6_3/mmc (No. 194) and the conventional cell measures 5.8659, 5.8659 and 25.3082 Å, with angles of 90.00, 90.00 and 120.00 degrees. The inequivalent atoms are Ba at (0.0000, 0.0000, 0.2500), Ba at (0.3333, 0.6667, 0.0402), Ba at (0.3333, 0.6667, 0.6320), Al at (0.3333, 0.6667, 0.1820), In at (0.0000, 0.0000, 0.1120), Ir at (0.0000, 0.0000, 0.0000), Cl at (0.3333, 0.6667, 0.7500), O at (0.1568, 0.3137, 0.5476), O at (0.1727, 0.3453, 0.1559) and O at (0.3333, 0.6667, 0.2500).

***

An optimized crystal structure of NdYAu2, computed with PBE-GGA.

As for the energy: -5.280 eV per atom. Its magnetization is 0.0 μB/f.u.

The space group is Amm2 (No. 38) and the conventional cell measures 4.722, 3.794 and 11.150 Å, with angles of 90.00, 90.00 and 90.00 degrees. The inequivalent atoms are Nd at (0.000, 0.000, 0.000), Y at (0.500, 0.000, 0.723), Au at (0.000, 0.000, 0.273) and Au at (0.500, 0.000, 0.448).

***

An optimized crystal structure of K2ReBr6, computed with PBE-GGA.

As for the energy: -3.703 eV per atom. Its magnetization is 3.0 μB/f.u.

The space group is C2/m (No. 12) and the conventional cell measures 12.937, 7.479 and 7.611 Å, with angles of 90.00, 125.38 and 90.00 degrees. The inequivalent atoms are K at (0.250, 0.000, 0.244), Re at (0.000, 0.500, 0.000), Br at (0.032, 0.261, 0.800) and Br at (0.236, 0.500, 0.296).

***

An optimized crystal structure of YPuCo, computed with PBE-GGA.

The value obtained for the excess energy over the best structure of this formula in the dataset is 0.00 kJ per mole of atoms. Its magnetization is 0.3 μB/f.u.

The space group is F-43m (No. 216) and the conventional cell measures 6.571, 6.571 and 6.571 Å, with angles of 90.00, 90.00 and 90.00 degrees. The inequivalent atoms are Y at (0.000, 0.000, 0.000), Pu at (0.000, 0.000, 0.500) and Co at (0.250, 0.250, 0.750).

***

An optimized crystal structure of DyEr2Si4Ni4, computed with PBE-GGA.

As for the energy: -6.048 eV per atom. Its magnetization is 0.0 μB/f.u.

The space group is Immm (No. 71) and the conventional cell measures 4.008, 6.561 and 13.232 Å, with angles of 90.00, 90.00 and 90.00 degrees. The inequivalent atoms are Dy at (0.000, 0.000, 0.000), Er at (0.000, 0.500, 0.129), Si at (0.000, 0.000, 0.218), Si at (0.000, 0.187, 0.500) and Ni at (0.000, 0.304, 0.323).

***

An optimized crystal structure of SrGdNO, computed with PBE-GGA.

The value obtained for the excess energy over the best structure of this formula in the dataset is 3.66 kJ per mole of atoms. Its magnetization is 0.0 μB/f.u.

The space group is P4/nmm (No. 129, origin choice 2) and the conventional cell measures 5.008, 5.008 and 5.132 Å, with angles of 90.00, 90.00 and 90.00 degrees. The inequivalent atoms are Sr at (0.250, 0.250, 0.001), Gd at (0.250, 0.750, 0.500), N at (0.250, 0.250, 0.502) and O at (0.250, 0.750, 0.000).

***

An optimized crystal structure of HfBe9Mo2, computed with PBE-GGA.

As for the energy: -5.741 eV per atom. Its magnetization is 0.0 μB/f.u.

The space group is R-3m (No. 166, hexagonal axes) and the conventional cell measures 4.4817, 4.4817 and 21.1431 Å, with angles of 90.00, 90.00 and 120.00 degrees. The inequivalent atoms are Hf at (0.0000, 0.0000, 0.0000), Be at (0.0000, 0.0000, 0.3340), Be at (0.0000, 0.0000, 0.5000), Be at (0.0044, 0.5022, 0.9163) and Mo at (0.0000, 0.0000, 0.1448).

***

An optimized crystal structure of LiHoW, computed with PBE-GGA.

The value obtained for the excess energy over the best structure of this formula in the dataset is 39.76 kJ per mole of atoms. Its magnetization is 2.5 μB/f.u.

The space group is F-43m (No. 216) and the conventional cell measures 6.637, 6.637 and 6.637 Å, with angles of 90.00, 90.00 and 90.00 degrees. The inequivalent atoms are Li at (0.000, 0.000, 0.000), Ho at (0.250, 0.250, 0.250) and W at (0.000, 0.000, 0.500).

***

An optimized crystal structure of LuNbSnC, computed with PBE-GGA.

The value obtained for the excess energy over the best structure of this formula in the dataset is 4.36 kJ per mole of atoms. Its magnetization is 0.0 μB/f.u.

The space group is P-3m1 (No. 164) and the conventional cell measures 3.4108, 3.4108 and 14.5599 Å, with angles of 90.00, 90.00 and 120.00 degrees. The inequivalent atoms are Lu at (0.3333, 0.6667, 0.4102), Nb at (0.3333, 0.6667, 0.0737), Sn at (0.3333, 0.6667, 0.7679), C at (0.0000, 0.0000, 0.0000) and C at (0.0000, 0.0000, 0.5000).

***

An optimized crystal structure of HfHg2Pb, computed with PBE-GGA.

As for the energy: -3.227 eV per atom. Its magnetization is 0.0 μB/f.u.

The space group is F-43m (No. 216) and the conventional cell measures 7.298, 7.298 and 7.298 Å, with angles of 90.00, 90.00 and 90.00 degrees. The inequivalent atoms are Hf at (0.000, 0.000, 0.000), Hg at (0.000, 0.000, 0.500), Hg at (0.250, 0.250, 0.250) and Pb at (0.250, 0.250, 0.750).

***

An optimized crystal structure of UOsPb, computed with PBE-GGA.

The value obtained for the excess energy over the best structure of this formula in the dataset is 0.00 kJ per mole of atoms. Its magnetization is 2.0 μB/f.u.

The space group is F-43m (No. 216) and the conventional cell measures 6.627, 6.627 and 6.627 Å, with angles of 90.00, 90.00 and 90.00 degrees. The inequivalent atoms are U at (0.000, 0.000, 0.000), Os at (0.250, 0.250, 0.750) and Pb at (0.000, 0.000, 0.500).

***

An optimized crystal structure of Co3W10, computed with PBE-GGA.

The value obtained for the excess energy over the best structure of this formula in the dataset is 6.20 kJ per mole of atoms. Its magnetization is 0.1 μB/f.u.

The space group is R-3m (No. 166, hexagonal axes) and the conventional cell measures 5.1334, 5.1334 and 26.6754 Å, with angles of 90.00, 90.00 and 120.00 degrees. The inequivalent atoms are Co at (0.0000, 0.0000, 0.0000), Co at (0.0000, 0.0000, 0.3498), W at (0.0000, 0.0000, 0.1671), W at (0.0000, 0.0000, 0.4533) and W at (0.0025, 0.5013, 0.4058).

***

Number 1: V 754 Å³ per cell. Number 2: V 200 Å³ per cell. Number 3: V 600 Å³ per cell. Number 4: V 284 Å³ per cell. Number 5: V 348 Å³ per cell. Number 6: V 129 Å³ per cell. Number 7: V 368 Å³ per cell. Number 8: V 292 Å³ per cell. Number 9: V 147 Å³ per cell. Number 10: V 389 Å³ per cell. Number 11: V 291 Å³ per cell. Number 12: V 609 Å³ per cell.